[1]
Material: CsZnBiSe3
Method: DFT, PBE
State: optimized geometry

```
12
Lattice="2.1382 -8.0590 0.0000 2.1382 8.0590 0.0000 0.0000 0.0000 11.3060" Properties=species:S:1:pos:R:3 pbc="T T T"
Cs 2.1382 4.1635 8.4795
Cs 2.1382 -4.1635 2.8265
Zn 2.1382 7.3754 2.8265
Zn 2.1382 -7.3754 8.4795
Bi 2.1382 0.0000 0.0000
Bi 2.1382 0.0000 5.6530
Se 2.1382 6.1160 0.6951
Se 2.1382 6.1160 4.9579
Se 2.1382 0.8372 2.8265
Se 2.1382 -0.8372 8.4795
Se 2.1382 -6.1160 6.3481
Se 2.1382 -6.1160 10.6109
```

SG: Cmcm (63)



[2]
Material: ZrZn2Co2
Method: DFT, PBE
State: optimized geometry

```
5
Lattice="-1.8451 1.8451 5.3846 1.8451 -1.8451 5.3846 1.8451 1.8451 -5.3846" Properties=species:S:1:pos:R:3 pbc="T T T"
Zr 0.0000 0.0000 0.0000
Zn 0.0000 0.0000 4.2071
Zn 0.0000 0.0000 6.5621
Co 1.8451 0.0000 2.6923
Co 0.0000 1.8451 2.6923
```

SG: I4/mmm (139)
Calculated formation energy, eV per formula unit: 0.123
Magnetization, μB/atom: 0.425



[3]
Material: Nb2In2PdPt
Method: DFT, PBE
State: optimized geometry

```
24
Lattice="7.6695 0.0000 0.0000 0.0000 4.4262 0.0000 -2.5562 0.0000 14.4624" Properties=species:S:1:pos:R:3 pbc="T T T"
Nb 0.0000 0.0000 0.0000
Nb -1.2536 2.2131 7.2491
Nb -0.0010 0.0000 10.8257
Nb 1.3022 2.2131 3.6051
Nb 2.5731 0.0000 7.2252
Nb 3.8768 2.2131 0.0117
Nb 5.1311 0.0000 3.6048
Nb 3.8783 2.2131 10.8605
In 0.0167 0.0000 5.4487
In -1.2265 2.2131 12.6763
In 2.5723 0.0000 1.7750
In 1.3293 2.2131 9.0301
In 2.5443 0.0000 12.6274
In 3.8561 2.2131 5.4494
In 5.0998 0.0000 9.0168
In 6.4143 2.2131 1.8106
Pd 0.0211 0.0000 13.5542
Pd 1.2987 2.2131 6.3256
Pd 2.5760 0.0000 9.9413
Pd 5.1338 0.0000 6.3269
Pt 0.0218 0.0000 2.7138
Pt -1.2566 2.2131 9.9397
Pt 3.8547 2.2131 2.7150
Pt 3.8561 2.2131 13.5552
```

SG: Pm (6)
Magnetization, μB/atom: 0.000



[4]
Material: AlTlW
Method: DFT, PBE
State: optimized geometry

```
3
Lattice="0.0000 3.2103 3.2103 3.2103 0.0000 3.2103 3.2103 3.2103 0.0000" Properties=species:S:1:pos:R:3 pbc="T T T"
Al 0.0000 0.0000 0.0000
Tl 1.6051 1.6051 1.6051
W 3.2103 3.2103 3.2103
```

SG: F-43m (216)
Magnetization, μB/atom: 0.687



Number 1: total DFT energy (no corrections) -3.542 eV/atom. Number 2: total DFT energy (no corrections) -5.033 eV/atom. Number 3: total DFT energy (no corrections) -6.420 eV/atom. Number 4: total DFT energy (no corrections) -4.816 eV/atom.